Material: RbReAs2Br
Method: DFT, PBE-GGA
State: optimized geometry

Values from the calculation:
E_form (uncorrected): -92 meV/atom
mass density: 6.095 Mg/m³
distance to the lowest polymorph of the same formula: 0 meV per atom
magnetization: 0.00 μB per formula unit
energy: -4.969 eV/atom

POSCAR file:
```
RbReAs2Br
1.0
4.793 0.000 0.000
0.000 4.793 0.000
0.000 0.000 5.947
As Re Br Rb
2 1 1 1
direct
0.000 0.500 0.000 As
0.500 0.000 0.000 As
0.000 0.000 0.000 Re
0.000 0.000 0.500 Br
0.500 0.500 0.500 Rb
```